(1)
The following is a PBE-GGA calculation of crystalline YIrI2O at its relaxed geometry, from the Alexandria database.

```
5
Lattice="6.0662 0.0000 0.0000 0.0000 6.0662 0.0000 0.0000 0.0000 4.0924" Properties=species:S:1:pos:R:3 pbc="T T T"
Y 0.0000 0.0000 0.0000
Ir 3.0331 3.0331 2.0462
I 0.0000 3.0331 0.0000
I 3.0331 0.0000 0.0000
O 0.0000 0.0000 2.0462
```

Final energy   -4.800 eV per atom
SG   P4/mmm, No. 123
E_form (uncorrected)   -123.6 meV per atom

(2)
The following is a PBE-GGA calculation of crystalline YIrI2O at its relaxed geometry, from the Alexandria database.

```
5
Lattice="5.7768 0.0000 0.0000 0.0000 5.7768 0.0000 0.0000 0.0000 3.7482" Properties=species:S:1:pos:R:3 pbc="T T T"
Y 0.0000 0.0000 0.0000
Ir 2.8884 2.8884 1.8741
I 0.0000 2.8884 1.8741
I 2.8884 0.0000 1.8741
O 2.8884 2.8884 0.0000
```

Final energy   -5.004 eV per atom
SG   P4/mmm, No. 123
E_form (uncorrected)   -327.3 meV per atom

(3)
The following is a PBE-GGA calculation of crystalline YIrI2O at its relaxed geometry, from the Alexandria database.

```
5
Lattice="5.3602 0.0000 0.0000 0.0000 5.3602 0.0000 0.0000 0.0000 4.1915" Properties=species:S:1:pos:R:3 pbc="T T T"
Y 0.0000 0.0000 0.0000
Ir 2.6801 2.6801 0.0000
I 0.0000 2.6801 2.0958
I 2.6801 0.0000 2.0958
O 0.0000 0.0000 2.0958
```

Final energy   -4.633 eV per atom
SG   P4/mmm, No. 123
E_form (uncorrected)   43.4 meV per atom

Values for density, g cm⁻³, ordered as above
6.07 7.31 7.60
Values for total magnetization, Bohr magnetons per cell, ordered as above
2.2 0.0 0.0
Values for polymorph energy (0 for the lowest one), eV/atom, ordered as above
0.204 0.000 0.371